Record 1
! PBE-GGA Hf2SiRuN, relaxed; values from VASP
! - uncorrected formation energy (meV per atom) = 991.6
! - theoretical density (g cm⁻³) = 7.81
! - magnetization (μB/atom) = 0.0000
! - symmetry = P4/mmm (123)
&SYSTEM
  ibrav = 0, nat = 5, ntyp = 4
/
ATOMIC_SPECIES
Ru 101.07 Ru.upf
Si 28.09 Si.upf
Hf 178.49 Hf.upf
N 14.01 N.upf
ATOMIC_POSITIONS angstrom
Ru 0.000 0.000 0.000
Si 0.000 2.191 0.000
Hf 0.000 0.000 2.462
Hf 2.462 0.000 0.000
N 2.462 2.191 2.462
CELL_PARAMETERS angstrom
4.925 0.000 0.000
0.000 4.383 0.000
0.000 0.000 4.925

***

Record 2
! PBE-GGA La5Ho2In, relaxed; values from VASP
! - theoretical density (g cm⁻³) = 7.13
! - energy of formation (meV/atom) = -122
! - magnetization (μB/atom) = 0.0000
! - symmetry = Cm (8)
&SYSTEM
  ibrav = 0, nat = 8, ntyp = 3
/
ATOMIC_SPECIES
La 138.91 La.upf
Ho 164.93 Ho.upf
In 114.82 In.upf
ATOMIC_POSITIONS angstrom
La 0.466 1.805 2.246
La -0.647 4.222 -2.304
La 4.674 0.849 -2.116
La 1.962 4.431 0.147
La 1.481 1.351 5.646
Ho -1.649 4.630 1.043
Ho 3.923 1.701 1.349
In 2.816 3.818 -3.255
CELL_PARAMETERS angstrom
6.961 -0.487 -2.104
-3.964 5.751 -2.080
0.123 0.193 6.807

***

Record 3
! PBE-GGA KPHCl2, relaxed; values from VASP
! - calculated total energy (eV per atom) = -2.051
! - theoretical density (g cm⁻³) = 0.87
! - magnetization (μB/atom) = 0.5969
! - symmetry = P4/mmm (123)
&SYSTEM
  ibrav = 0, nat = 5, ntyp = 4
/
ATOMIC_SPECIES
P 30.97 P.upf
K 39.10 K.upf
H 1.01 H.upf
Cl 35.45 Cl.upf
ATOMIC_POSITIONS angstrom
P 0.522 2.606 2.615
K 0.000 0.000 0.000
H -2.707 0.979 4.880
Cl -0.253 -2.104 2.147
Cl -2.976 0.478 0.118
CELL_PARAMETERS angstrom
-5.953 0.955 0.236
-0.505 -4.208 4.294
1.043 5.211 5.230

***

Record 4
! PBE-GGA PrDyHo3, relaxed; values from VASP
! - theoretical density (g cm⁻³) = 8.16
! - energy of formation (meV/atom) = 15
! - magnetization (μB/atom) = 0.0000
! - symmetry = P2_1/m (11)
&SYSTEM
  ibrav = 0, nat = 10, ntyp = 3
/
ATOMIC_SPECIES
Pr 140.91 Pr.upf
Dy 162.50 Dy.upf
Ho 164.93 Ho.upf
ATOMIC_POSITIONS angstrom
Pr 1.357 2.555 2.414
Pr 6.903 5.393 2.525
Dy 4.481 5.394 5.222
Dy 3.778 2.555 -0.283
Ho 0.946 5.393 4.487
Ho -1.060 2.555 5.160
Ho 4.891 2.555 3.184
Ho 3.368 5.394 1.755
Ho 9.320 5.393 -0.221
Ho 7.313 2.555 0.452
CELL_PARAMETERS angstrom
9.534 0.000 -1.230
0.000 5.677 0.000
-1.275 0.000 6.169

***

Record 5
! PBE-GGA Tm5In2Te2, relaxed; values from VASP
! - uncorrected formation energy (meV per atom) = -756.8
! - theoretical density (g cm⁻³) = 8.99
! - magnetization (μB/atom) = 0.0009
! - symmetry = Cmce (64)
&SYSTEM
  ibrav = 0, nat = 18, ntyp = 3
/
ATOMIC_SPECIES
Tm 168.93 Tm.upf
In 114.82 In.upf
Te 127.60 Te.upf
ATOMIC_POSITIONS angstrom
Tm 0.000 0.000 0.000
Tm 3.997 3.542 -1.821
Tm 6.664 5.685 -0.572
Tm 1.330 3.311 0.649
Tm 2.667 6.853 -1.172
Tm 5.327 2.143 1.249
Tm 1.330 1.384 5.612
Tm 6.664 3.758 4.391
Tm 5.327 0.216 6.212
Tm 2.667 4.926 3.791
In 5.036 6.151 -3.162
In 2.958 0.932 -0.479
In 1.039 4.474 -2.300
In 6.955 2.609 -1.341
Te 0.000 1.435 2.792
Te 3.997 4.977 0.971
Te 0.000 5.633 2.248
Te 3.997 2.091 4.069
CELL_PARAMETERS angstrom
7.994 0.000 0.000
0.000 7.084 -3.642
0.000 -0.015 8.681

***

Record 6
! PBE-GGA Sr2YP2N6, relaxed; values from VASP
! - uncorrected formation energy (meV per atom) = -846.7
! - theoretical density (g cm⁻³) = 3.94
! - magnetization (μB/atom) = 0.0000
! - symmetry = R-3m (166)
&SYSTEM
  ibrav = 0, nat = 11, ntyp = 4
/
ATOMIC_SPECIES
Sr 87.62 Sr.upf
Y 88.91 Y.upf
P 30.97 P.upf
N 14.01 N.upf
ATOMIC_POSITIONS angstrom
Sr 8.605 4.968 3.732
Sr 2.868 1.656 2.338
Y 0.000 0.000 0.000
P 5.737 3.312 4.526
P 5.737 3.312 1.544
N 7.101 4.100 1.577
N 4.373 4.100 1.577
N 5.737 1.737 1.577
N 5.737 4.887 4.493
N 7.101 2.525 4.493
N 4.373 2.525 4.493
CELL_PARAMETERS angstrom
5.737 0.000 0.000
2.868 4.968 0.000
2.868 1.656 6.070

***

Repeat the fifth record exactly.
! PBE-GGA Tm5In2Te2, relaxed; values from VASP
! - uncorrected formation energy (meV per atom) = -756.8
! - theoretical density (g cm⁻³) = 8.99
! - magnetization (μB/atom) = 0.0009
! - symmetry = Cmce (64)
&SYSTEM
  ibrav = 0, nat = 18, ntyp = 3
/
ATOMIC_SPECIES
Tm 168.93 Tm.upf
In 114.82 In.upf
Te 127.60 Te.upf
ATOMIC_POSITIONS angstrom
Tm 0.000 0.000 0.000
Tm 3.997 3.542 -1.821
Tm 6.664 5.685 -0.572
Tm 1.330 3.311 0.649
Tm 2.667 6.853 -1.172
Tm 5.327 2.143 1.249
Tm 1.330 1.384 5.612
Tm 6.664 3.758 4.391
Tm 5.327 0.216 6.212
Tm 2.667 4.926 3.791
In 5.036 6.151 -3.162
In 2.958 0.932 -0.479
In 1.039 4.474 -2.300
In 6.955 2.609 -1.341
Te 0.000 1.435 2.792
Te 3.997 4.977 0.971
Te 0.000 5.633 2.248
Te 3.997 2.091 4.069
CELL_PARAMETERS angstrom
7.994 0.000 0.000
0.000 7.084 -3.642
0.000 -0.015 8.681